Density functional theory data (PBE) for a relaxed La11Tb4Ho9 crystal.

## Properties
Volume: 826 Å³/cell
Density: 7.34 g/cm³
Size of the total moment: 0.0002 μB per atom
DFT total energy: -4.68 eV/atom
Formation energy from the elements: 6.63 kJ/mol of atoms
Space-group type: Cmmm, No. 65

a b c (Å): 3.709 15.553 15.553
angles (deg): 113.02 90.00 90.00
Positions (direct):
La1 0.000 0.000 0.000
Ho1 0.500 0.500 0.500
La2 0.000 0.368 0.632
Ho2 0.500 0.787 0.932
Ho3 0.500 0.834 0.368
La3 0.000 0.708 0.708
La4 0.000 0.632 0.368
La5 0.000 0.957 0.595
Tb1 0.500 0.758 0.555
Ho4 0.500 0.368 0.834
Tb2 0.500 0.445 0.242
Ho5 0.500 0.166 0.632
La6 0.000 0.841 0.159
Tb3 0.500 0.242 0.445
Ho6 0.500 0.632 0.166
La7 0.000 0.043 0.405
La8 0.000 0.405 0.043
Tb4 0.500 0.555 0.758
La9 0.000 0.292 0.292
La10 0.000 0.159 0.841
La11 0.000 0.595 0.957
Ho7 0.500 0.932 0.787
Ho8 0.500 0.213 0.068
Ho9 0.500 0.068 0.213

---

Density functional theory data (PBE) for a relaxed ReAu crystal.

## Properties
Volume: 66 Å³/cell
Density: 19.28 g/cm³
E above lowest polymorph: 213 meV per atom
Size of the total moment: 0.0000 μB per atom
DFT total energy: -7.51 eV/atom
Formation energy from the elements: 34.48 kJ/mol of atoms
Space-group type: P2_1/m, No. 11

a b c (Å): 2.869 3.912 5.882
angles (deg): 90.00 90.94 90.00
Positions (direct):
Au1 0.254 0.750 0.627
Au2 0.746 0.250 0.373
Re1 0.208 0.750 0.096
Re2 0.792 0.250 0.904

---

Density functional theory data (PBE) for a relaxed Nd2Er3Tm4 crystal.

## Properties
Volume: 563 Å³/cell
Density: 8.64 g/cm³
Size of the total moment: 0.0000 μB per atom
DFT total energy: -4.47 eV/atom
Formation energy from the elements: 9.76 kJ/mol of atoms
Space-group type: C2/c, No. 15

a b c (Å): 5.945 11.178 11.178
angles (deg): 62.18 63.88 63.88
Positions (direct):
Tm1 0.921 0.168 0.955
Nd1 0.433 0.280 0.508
Nd2 0.067 0.492 0.720
Er1 0.239 0.987 0.686
Tm2 0.597 0.375 0.158
Tm3 0.079 0.832 0.045
Tm4 0.421 0.955 0.168
Tm5 0.579 0.045 0.832
Er2 0.250 0.652 0.348
Nd3 0.567 0.720 0.492
Er3 0.261 0.314 0.013
Er4 0.739 0.686 0.987
Er5 0.750 0.348 0.652
Er6 0.761 0.013 0.314
Nd4 0.933 0.508 0.280
Tm6 0.903 0.842 0.625
Tm7 0.097 0.158 0.375
Tm8 0.403 0.625 0.842

---

Density functional theory data (PBE) for a relaxed Mg6CdAu10 crystal.

## Properties
Volume: 316 Å³/cell
Density: 11.69 g/cm³
Size of the total moment: 0.0000 μB per atom
DFT total energy: -2.98 eV/atom
Formation energy from the elements: -42.23 kJ/mol of atoms
Space-group type: P-31m, No. 162

a b c (Å): 5.611 8.069 8.069
angles (deg): 120.00 90.00 90.00
Positions (direct):
Mg1 0.295 0.636 0.636
Au1 0.500 0.667 0.333
Au2 0.000 0.333 0.667
Mg2 0.705 0.000 0.636
Au3 0.808 0.706 0.706
Cd1 0.500 0.000 0.000
Au4 0.192 0.294 0.294
Au5 0.808 0.294 0.000
Mg3 0.705 0.636 0.000
Au6 0.808 0.000 0.294
Mg4 0.295 0.364 0.000
Mg5 0.705 0.364 0.364
Au7 0.192 0.000 0.706
Au8 0.000 0.667 0.333
Au9 0.192 0.706 0.000
Au10 0.500 0.333 0.667
Mg6 0.295 0.000 0.364

---

Density functional theory data (PBE) for a relaxed Li7MgHg2 crystal.

## Properties
Volume: 188 Å³/cell
Density: 4.18 g/cm³
E above lowest polymorph: 0 meV per atom
Size of the total moment: 0.0000 μB per atom
DFT total energy: -1.72 eV/atom
Formation energy from the elements: -15.35 kJ/mol of atoms
Space-group type: P3m1, No. 156

a b c (Å): 4.647 4.647 10.073
angles (deg): 90.00 90.00 120.00
Positions (direct):
Hg1 0.333 0.667 0.718
Li1 0.333 0.667 0.226
Li2 0.667 0.333 0.659
Li3 0.333 0.667 0.462
Hg2 0.667 0.333 0.343
Li4 0.000 0.000 0.515
Li5 0.000 0.000 0.198
Li6 0.667 0.333 0.041
Li7 0.333 0.667 0.975
Mg1 0.000 0.000 0.847

---

Density functional theory data (PBE) for a relaxed KLa2Ta crystal.

## Properties
Volume: 124 Å³/cell
Density: 6.66 g/cm³
E above lowest polymorph: 441 meV per atom
Size of the total moment: 0.4616 μB per atom
DFT total energy: -4.84 eV/atom
Formation energy from the elements: 83.24 kJ/mol of atoms
Space-group type: Fm-3m, No. 225

a b c (Å): 5.601 5.601 5.601
angles (deg): 60.00 60.00 60.00
Site moments in Bohr magnetons follow the coordinates.
Positions (direct):
La1 0.750 0.750 0.750  0.11
K1 0.000 0.000 0.000  0.00
La2 0.250 0.250 0.250  0.11
Ta1 0.500 0.500 0.500  0.94

---

Density functional theory data (PBE) for a relaxed PrNd4Dy2 crystal.

## Properties
Volume: 483 Å³/cell
Density: 7.17 g/cm³
E above lowest polymorph: 0 meV per atom
Size of the total moment: 0.0000 μB per atom
DFT total energy: -4.66 eV/atom
Formation energy from the elements: 5.82 kJ/mol of atoms
Space-group type: Cc, No. 9

a b c (Å): 12.665 12.665 6.879
angles (deg): 97.01 97.01 150.18
Positions (direct):
Dy1 0.305 0.623 0.948
Nd1 0.183 0.719 0.376
Nd2 0.792 0.185 0.403
Nd3 0.557 0.594 0.126
Dy2 0.623 0.305 0.448
Nd4 0.033 0.139 0.597
Nd5 0.594 0.557 0.626
Nd6 0.185 0.792 0.903
Dy3 0.106 0.925 0.552
Dy4 0.925 0.106 0.052
Pr1 0.425 0.675 0.500
Nd7 0.139 0.033 0.097
Pr2 0.675 0.425 0.000
Nd8 0.719 0.183 0.876

---

Density functional theory data (PBE) for a relaxed YPuRu crystal.

## Properties
Volume: 76 Å³/cell
Density: 9.46 g/cm³
E above lowest polymorph: 171 meV per atom
Size of the total moment: 1.6918 μB per atom
DFT total energy: -10.04 eV/atom
Formation energy from the elements: -1.59 kJ/mol of atoms
Space-group type: F-43m, No. 216

a b c (Å): 4.759 4.759 4.759
angles (deg): 60.00 60.00 60.00
Site moments in Bohr magnetons follow the coordinates.
Positions (direct):
Ru1 0.250 0.250 0.250  -0.44
Y1 0.500 0.500 0.500  0.09
Pu1 0.000 0.000 0.000  5.17

---

Density functional theory data (PBE) for a relaxed K4MgTl2 crystal.

## Properties
Volume: 322 Å³/cell
Density: 3.04 g/cm³
Size of the total moment: 0.0000 μB per atom
DFT total energy: -1.55 eV/atom
Formation energy from the elements: -1.71 kJ/mol of atoms
Space-group type: Cmmm, No. 65

a b c (Å): 4.934 8.207 8.207
angles (deg): 75.76 90.00 90.00
Positions (direct):
K1 0.500 0.310 0.690
K2 0.500 0.690 0.310
K3 0.000 0.500 0.000
Tl1 0.500 0.145 0.145
Mg1 0.000 0.000 0.000
Tl2 0.500 0.855 0.855
K4 0.000 0.000 0.500

---

Density functional theory data (PBE) for a relaxed MgGa4Ir2Rh crystal.

## Properties
Volume: 118 Å³/cell
Density: 11.08 g/cm³
Size of the total moment: 0.0000 μB per atom
DFT total energy: -5.29 eV/atom
Formation energy from the elements: -42.68 kJ/mol of atoms
Space-group type: R-3m, No. 166

a b c (Å): 4.347 4.347 7.664
angles (deg): 73.53 73.53 60.00
Positions (direct):
Ga1 0.621 0.621 0.138
Ga2 0.379 0.379 0.862
Mg1 0.000 0.000 0.000
Rh1 0.500 0.500 0.500
Ir1 0.253 0.253 0.240
Ga3 0.130 0.130 0.610
Ga4 0.870 0.870 0.390
Ir2 0.747 0.747 0.760

---

Density functional theory data (PBE) for a relaxed Tb2Zn3Cd3 crystal.

## Properties
Volume: 166 Å³/cell
Density: 8.52 g/cm³
Size of the total moment: 0.0000 μB per atom
DFT total energy: -2.27 eV/atom
Formation energy from the elements: -28.26 kJ/mol of atoms
Space-group type: R3m, No. 160

a b c (Å): 4.892 4.892 8.487
angles (deg): 73.25 73.25 60.00
Positions (direct):
Cd1 0.247 0.247 0.259
Tb1 0.496 0.496 0.513
Zn1 0.373 0.373 0.881
Zn2 0.127 0.127 0.620
Cd2 0.624 0.624 0.129
Cd3 0.752 0.752 0.743
Zn3 0.877 0.877 0.370
Tb2 0.005 0.005 0.985

---

Density functional theory data (PBE) for a relaxed EuGaAu2 crystal.

## Properties
Volume: 89 Å³/cell
Density: 11.46 g/cm³
Size of the total moment: 1.7470 μB per atom
DFT total energy: -5.45 eV/atom
Formation energy from the elements: -47.03 kJ/mol of atoms
Space-group type: P4/mmm, No. 123

a b c (Å): 3.644 3.644 6.718
angles (deg): 90.00 90.00 90.00
Site moments in Bohr magnetons follow the coordinates.
Positions (direct):
Ga1 0.500 0.500 0.000  0.00
Eu1 0.500 0.500 0.500  6.79
Au1 0.000 0.000 0.781  -0.01
Au2 0.000 0.000 0.219  -0.01

---

Density functional theory data (PBE) for a relaxed Sr2HPbAu crystal.

## Properties
Volume: 128 Å³/cell
Density: 7.55 g/cm³
Size of the total moment: 0.0000 μB per atom
DFT total energy: -3.26 eV/atom
Space-group type: P4/mmm, No. 123

a b c (Å): 5.727 5.727 3.890
angles (deg): 90.00 90.00 90.00
Positions (direct):
Pb1 0.500 0.500 0.500
Sr1 0.500 0.000 0.000
H1 0.000 0.000 0.000
Au1 0.000 0.000 0.500
Sr2 0.000 0.500 0.000

---

Density functional theory data (PBE) for a relaxed CaMg2Co2 crystal.

## Properties
Volume: 98 Å³/cell
Density: 3.50 g/cm³
E above lowest polymorph: 0 meV per atom
Size of the total moment: 0.3745 μB per atom
DFT total energy: -3.68 eV/atom
Formation energy from the elements: 19.46 kJ/mol of atoms
Space-group type: I4/mmm, No. 139

a b c (Å): 4.233 4.233 6.229
angles (deg): 70.14 70.14 90.00
Site moments in Bohr magnetons follow the coordinates.
Positions (direct):
Mg1 0.750 0.250 0.500  -0.02
Ca1 0.000 0.000 0.000  -0.06
Co1 0.402 0.402 0.197  1.15
Mg2 0.250 0.750 0.500  -0.02
Co2 0.598 0.598 0.803  1.15

---

Density functional theory data (PBE) for a relaxed Ce3PdPt8 crystal.

## Properties
Volume: 226 Å³/cell
Density: 15.31 g/cm³
Size of the total moment: 0.0923 μB per atom
DFT total energy: -6.87 eV/atom
Formation energy from the elements: -88.99 kJ/mol of atoms
Space-group type: R3m, No. 160

a b c (Å): 5.420 5.420 9.436
angles (deg): 73.31 73.31 60.00
Site moments in Bohr magnetons follow the coordinates.
Positions (direct):
Ce1 0.508 0.508 0.476  0.24
Pd1 0.870 0.870 0.391  -0.02
Pt1 0.938 0.938 0.685  -0.03
Pt2 0.439 0.938 0.685  -0.03
Pt3 0.940 0.437 0.186  -0.03
Pt4 0.688 0.688 0.935  -0.03
Pt5 0.437 0.940 0.186  -0.03
Ce2 0.988 0.988 0.036  0.34
Pt6 0.938 0.439 0.685  -0.03
Pt7 0.188 0.188 0.436  -0.03
Pt8 0.437 0.437 0.186  -0.03
Ce3 0.379 0.379 0.863  0.62

---

Density functional theory data (PBE) for a relaxed LiAc2Mg crystal.

## Properties
Volume: 137 Å³/cell
Density: 5.87 g/cm³
E above lowest polymorph: 0 meV per atom
Size of the total moment: 0.0000 μB per atom
DFT total energy: -2.94 eV/atom
Formation energy from the elements: -0.92 kJ/mol of atoms
Space-group type: P4/mmm, No. 123

a b c (Å): 4.112 4.112 8.123
angles (deg): 90.00 90.00 90.00
Positions (direct):
Ac1 0.000 0.000 0.750
Ac2 0.000 0.000 0.250
Li1 0.500 0.500 0.500
Mg1 0.500 0.500 0.000

---

Density functional theory data (PBE) for a relaxed TaGa2Pt8 crystal.

## Properties
Volume: 173 Å³/cell
Density: 18.09 g/cm³
Size of the total moment: 0.0000 μB per atom
DFT total energy: -6.55 eV/atom
Formation energy from the elements: -51.18 kJ/mol of atoms
Space-group type: C2/m, No. 12

a b c (Å): 4.047 6.406 7.389
angles (deg): 109.57 105.89 90.00
Positions (direct):
Pt1 0.960 0.272 0.919
Pt2 0.142 0.194 0.284
Pt3 0.393 0.543 0.787
Pt4 0.607 0.457 0.213
Ga1 0.214 0.651 0.428
Pt5 0.858 0.806 0.716
Ta1 0.500 0.000 0.000
Pt6 0.040 0.728 0.081
Ga2 0.786 0.349 0.572
Pt7 0.321 0.067 0.641
Pt8 0.679 0.933 0.359

---

Density functional theory data (PBE) for a relaxed TaCuAs2 crystal.

## Properties
Volume: 70 Å³/cell
Density: 9.36 g/cm³
Size of the total moment: 0.0000 μB per atom
DFT total energy: -6.34 eV/atom
Formation energy from the elements: -2.78 kJ/mol of atoms
Space-group type: Imm2, No. 44

a b c (Å): 6.178 6.178 6.178
angles (deg): 146.54 147.29 47.49
Positions (direct):
As1 0.026 0.026 0.000
As2 0.285 0.785 0.500
Cu1 0.491 0.491 0.000
Ta1 0.698 0.198 0.500

---

Density functional theory data (PBE) for a relaxed SiNiTe crystal.

## Properties
Volume: 55 Å³/cell
Density: 6.51 g/cm³
E above lowest polymorph: 396 meV per atom
Size of the total moment: 0.0000 μB per atom
E_form (uncorrected): 0.206 eV/atom
DFT total energy: -4.58 eV/atom
Space-group type: Imm2, No. 44

a b c (Å): 6.245 6.245 6.245
angles (deg): 151.91 151.45 40.48
Positions (direct):
Te1 0.645 0.645 0.000
Ni1 0.974 0.974 0.000
Si1 0.381 0.381 0.000

---

Density functional theory data (PBE) for a relaxed CuNi2Ir2 crystal.

## Properties
Volume: 127 Å³/cell
Density: 14.84 g/cm³
E above lowest polymorph: 0 meV per atom
Size of the total moment: 0.0000 μB per atom
DFT total energy: -6.65 eV/atom
Formation energy from the elements: 2.89 kJ/mol of atoms
Space-group type: P-1, No. 2

a b c (Å): 4.570 6.927 6.860
angles (deg): 141.67 109.81 76.48
Positions (direct):
Ni1 0.953 0.252 0.397
Ir1 0.753 0.252 0.003
Ir2 0.846 0.752 0.202
Ni2 0.549 0.244 0.590
Ir3 0.247 0.748 0.997
Ni3 0.047 0.748 0.603
Ni4 0.451 0.756 0.410
Cu1 0.643 0.746 0.791
Cu2 0.357 0.254 0.209
Ir4 0.154 0.248 0.798

---

Density functional theory data (PBE) for a relaxed Th2ReMoN6 crystal.

## Properties
Volume: 127 Å³/cell
Density: 10.85 g/cm³
Size of the total moment: 0.0000 μB per atom
E_form (uncorrected): -0.840 eV/atom
DFT total energy: -9.65 eV/atom
Space-group type: P4mm, No. 99

a b c (Å): 3.990 5.642 5.642
angles (deg): 90.00 90.00 90.00
Positions (direct):
N1 0.163 0.000 0.000
N2 0.669 0.249 0.249
N3 0.669 0.751 0.751
Th1 0.082 0.500 0.000
N4 0.669 0.751 0.249
Re1 0.669 0.000 0.000
N5 0.669 0.249 0.751
Mo1 0.631 0.500 0.500
N6 0.147 0.500 0.500
Th2 0.082 0.000 0.500

---

Density functional theory data (PBE) for a relaxed KTcH2 crystal.

## Properties
Volume: 113 Å³/cell
Density: 4.10 g/cm³
E above lowest polymorph: 0 meV per atom
Size of the total moment: 0.4046 μB per atom
DFT total energy: -4.07 eV/atom
Space-group type: I-42d, No. 122

a b c (Å): 5.513 5.513 5.378
angles (deg): 59.16 59.16 90.00
Site moments in Bohr magnetons follow the coordinates.
Positions (direct):
H1 0.999 0.625 0.250  -0.01
K1 0.500 0.500 0.000  0.01
H2 0.875 0.001 0.750  -0.01
K2 0.250 0.750 0.500  0.01
Tc1 0.750 0.250 0.500  1.45
Tc2 0.000 0.000 0.000  1.47
H3 0.375 0.249 0.750  -0.01
H4 0.751 0.125 0.250  -0.01

---

Density functional theory data (PBE) for a relaxed Ca2Ni15Ir2 crystal.

## Properties
Volume: 250 Å³/cell
Density: 8.94 g/cm³
Size of the total moment: 0.4965 μB per atom
DFT total energy: -5.76 eV/atom
Formation energy from the elements: -5.34 kJ/mol of atoms
Space-group type: R-3m, No. 166

a b c (Å): 6.348 6.348 6.348
angles (deg): 82.57 82.57 82.57
Site moments in Bohr magnetons follow the coordinates.
Positions (direct):
Ni1 0.847 0.344 0.344  0.62
Ni2 0.706 0.000 0.294  0.58
Ni3 0.344 0.344 0.847  0.62
Ni4 0.706 0.294 0.000  0.58
Ni5 0.344 0.847 0.344  0.62
Ni6 0.656 0.656 0.153  0.62
Ni7 0.500 0.000 0.000  0.54
Ni8 0.294 0.706 0.000  0.58
Ca1 0.654 0.654 0.654  -0.03
Ca2 0.346 0.346 0.346  -0.03
Ni9 0.153 0.656 0.656  0.62
Ni10 0.000 0.500 0.000  0.54
Ni11 0.294 0.000 0.706  0.58
Ni12 0.656 0.153 0.656  0.62
Ir1 0.899 0.899 0.899  0.62
Ni13 0.000 0.706 0.294  0.58
Ni14 0.000 0.294 0.706  0.58
Ir2 0.101 0.101 0.101  0.62
Ni15 0.000 0.000 0.500  0.54